(1)
# TlRhSe2Br | Alexandria via LeMat-Bulk | SCAN | PBEsol geometry
# Formation energy without anion corrections in eV/atom: -0.084
# Total DFT energy (no corrections) in eV per formula unit: -166.168
data_TlRhSe2Br
_symmetry_space_group_name_H-M 'P 4/m m m'
_symmetry_Int_Tables_number 123
_symmetry_space_group_name_Hall '-P 4 2'
_cell_length_a 4.8028
_cell_length_b 4.8028
_cell_length_c 5.3194
_cell_angle_alpha 90.00
_cell_angle_beta 90.00
_cell_angle_gamma 90.00
loop_
_atom_site_label
_atom_site_type_symbol
_atom_site_fract_x
_atom_site_fract_y
_atom_site_fract_z
Tl1 Tl 0.0000 0.0000 0.0000
Rh1 Rh 0.5000 0.5000 0.5000
Se1 Se 0.0000 0.5000 0.5000
Br1 Br 0.5000 0.5000 0.0000


(2)
# TlRhSeBr2 | Alexandria via LeMat-Bulk | SCAN | PBEsol geometry
# Formation energy without anion corrections in eV/atom: 0.655
# Total DFT energy (no corrections) in eV per formula unit: -161.853
data_TlRhSeBr2
_symmetry_space_group_name_H-M 'P 4/m m m'
_symmetry_Int_Tables_number 123
_symmetry_space_group_name_Hall '-P 4 2'
_cell_length_a 5.4106
_cell_length_b 5.4106
_cell_length_c 5.3360
_cell_angle_alpha 90.00
_cell_angle_beta 90.00
_cell_angle_gamma 90.00
loop_
_atom_site_label
_atom_site_type_symbol
_atom_site_fract_x
_atom_site_fract_y
_atom_site_fract_z
Tl1 Tl 0.0000 0.0000 0.0000
Rh1 Rh 0.5000 0.5000 0.5000
Se1 Se 0.0000 0.0000 0.5000
Br1 Br 0.0000 0.5000 0.0000